[1]
Entry from Alexandria via LeMat-Bulk: PmEu2Ti after structural relaxation (PBE).

Summary:
For the magnetization, the calculation gives 16.1 μB/f.u. The density of states at the Fermi level comes out at 1.49 states/eV per atom. The value obtained for the formation energy is 535 meV/atom.

Cell and atoms, written as POSCAR:
```
PmEu2Ti
1.0
-2.008 2.395 1.407
-2.845 -0.918 1.677
4.802 -0.277 11.498
Eu Ti Pm
2 1 1
direct
0.080 0.080 0.759 Eu
0.920 0.920 0.241 Eu
0.000 0.000 0.000 Ti
0.500 0.500 0.500 Pm
```

---

[2]
Entry from Alexandria via LeMat-Bulk: HfVSi2 after structural relaxation (PBE).

Summary:
For the magnetization, the calculation gives 0.0 μB/f.u. The density of states at the Fermi level comes out at 0.64 states/eV per atom. The formation energy (no corrections) comes out at -1.10 eV/f.u.

Cell and atoms, written as POSCAR:
```
HfVSi2
1.0
3.712 0.000 0.000
1.856 3.215 0.000
1.856 1.072 5.586
Si Hf V
2 1 1
direct
0.262 0.262 0.215 Si
0.738 0.738 0.785 Si
0.500 0.500 0.500 Hf
0.000 0.000 0.000 V
```

---

[3]
Entry from Alexandria via LeMat-Bulk: CaY2Mo after structural relaxation (PBE).

Summary:
For the magnetization, the calculation gives 0.0 μB/f.u. The density of states at the Fermi level comes out at 1.55 states/eV per atom. The value obtained for the formation energy is 414 meV/atom.

Cell and atoms, written as POSCAR:
```
CaY2Mo
1.0
10.769 -0.009 -0.005
10.166 3.552 -0.005
10.166 1.720 3.107
Y Mo Ca
2 1 1
direct
0.020 0.020 0.020 Y
0.480 0.480 0.480 Y
0.750 0.750 0.750 Mo
0.250 0.250 0.250 Ca
```

---

[4]
Entry from Alexandria via LeMat-Bulk: Al2ZnRu after structural relaxation (PBE).

Summary:
For the magnetization, the calculation gives 0.0 μB/f.u. The density of states at the Fermi level comes out at 0.39 states/eV per atom. The value obtained for the formation energy is -385 meV/atom.

Cell and atoms, written as POSCAR:
```
Al2ZnRu
1.0
-3.176 -0.320 3.463
0.338 -4.226 2.050
3.236 3.274 -0.996
Ru Zn Al
1 1 2
direct
0.750 0.250 0.500 Ru
0.250 0.750 0.500 Zn
0.000 0.000 0.000 Al
0.500 0.500 0.000 Al
```

---

[5]
Entry from Alexandria via LeMat-Bulk: CoNi2As after structural relaxation (PBE).

Summary:
For the magnetization, the calculation gives 1.9 μB/f.u. The density of states at the Fermi level comes out at 1.23 states/eV per atom. The value obtained for the formation energy is 33 meV/atom.

Cell and atoms, written as POSCAR:
```
CoNi2As
1.0
3.061 0.000 0.000
0.000 3.061 0.000
0.000 0.000 5.126
As Co Ni
1 1 2
direct
0.000 0.000 0.498 As
0.500 0.500 0.757 Co
0.000 0.000 0.999 Ni
0.500 0.500 0.246 Ni
```

---

[6]
Entry from Alexandria via LeMat-Bulk: La2Al4AgAu3 after structural relaxation (PBE).

Summary:
For the magnetization, the calculation gives 0.0 μB/f.u. The density of states at the Fermi level comes out at 0.55 states/eV per atom. The value obtained for the formation energy is -686 meV/atom.

Cell and atoms, written as POSCAR:
```
La2Al4AgAu3
1.0
-2.279 3.820 -0.443
-3.329 -1.702 2.449
4.558 3.740 8.795
La Al Ag Au
2 4 1 3
direct
0.500 0.000 0.250 La
0.000 0.500 0.750 La
0.500 0.500 0.000 Al
0.000 0.000 0.000 Al
0.500 0.000 0.632 Al
0.000 0.500 0.368 Al
0.500 0.500 0.500 Ag
0.000 0.000 0.500 Au
0.500 0.000 0.872 Au
0.000 0.500 0.128 Au
```